DFT (GGA-PBEsol) results for a geometry-optimized ZrTcIO2 structure.

Properties
Energy (eV for the cell shown): -36.54
Space group: P4/mmm, No. 123
Mass density (Mg/m³): 5.9
N(E_F) (states/eV/cell): 3.42

Cell: 4.0187 4.0187 6.0615 Å, 90.00 90.00 90.00°
Element x y z (fractional)
Zr  0.0000  0.0000  0.0000
Tc  0.5000  0.5000  0.5000
I  0.0000  0.0000  0.5000
O  0.0000  0.5000  0.0000
O  0.5000  0.0000  0.0000

DFT (GGA-PBEsol) results for a geometry-optimized TeI2O2 structure.

Properties
Energy (eV for the cell shown): -13.95
Space group: P4/mmm, No. 123
Mass density (Mg/m³): 7.0
N(E_F) (states/eV/cell): 3.50

Cell: 4.9012 4.9012 4.0872 Å, 90.00 90.00 90.00°
Element x y z (fractional)
Te  0.0000  0.0000  0.0000
I  0.0000  0.5000  0.5000
I  0.5000  0.0000  0.5000
O  0.5000  0.5000  0.0000
O  0.5000  0.5000  0.5000